A relaxed ZrCrNi crystal. Source: Alexandria, functional GGA-PBE.

Cell lengths 5.9927, 5.9927, 5.9927 Å; angles 90.00, 90.00, 90.00 degrees
Last column: nearest neighbours and their distance in Å.
Space group F-43m (No. 216)
One atom of each set of equivalent atoms:
Zr 0.0000 0.0000 0.0000 (multiplicity 4)  4 Ni 2.59
Cr 0.0000 0.0000 0.5000 (multiplicity 4)  4 Ni 2.59
Ni 0.2500 0.2500 0.7500 (multiplicity 4)  4 Cr 2.59, 4 Zr 2.59

Output
**ΔH_f (0 K)**: 0.2490 eV/atom
**Crystal system**: cubic
**Electronic total energy**: -7.735 eV per atom
**V**: 17.9 Å³ per atom
**Offset from the most stable computed form**: 445 meV per atom